(1)
SrPd2Cl2 | PBE | relaxed

Computed properties:
- E above lowest polymorph: 0 meV per atom
- Raw total energy: -3.86 eV per atom
- Fermi-level density of states: 0.000 states/eV/f.u.

Cell lengths 7.5071, 7.5071, 4.5610 Å; angles 90.00, 90.00, 90.00 degrees
Sites, in units of the cell vectors:
Sr (0.0000, 0.0000, 0.0000)
Sr (0.5000, 0.5000, 0.0000)
Pd (0.1314, 0.3686, 0.0000)
Pd (0.3686, 0.8686, 0.0000)
Pd (0.6314, 0.1314, 0.0000)
Pd (0.8686, 0.6314, 0.0000)
Cl (0.1931, 0.3069, 0.5000)
Cl (0.3069, 0.8069, 0.5000)
Cl (0.6931, 0.1931, 0.5000)
Cl (0.8069, 0.6931, 0.5000)



(2)
SrVPdCl2 | PBE | relaxed

Computed properties:
- Raw total energy: -4.26 eV per atom
- Fermi-level density of states: 4.327 states/eV/f.u.

Cell lengths 4.5828, 4.5828, 7.8939 Å; angles 90.00, 90.00, 90.00 degrees
Sites, in units of the cell vectors:
Sr (0.0000, 0.0000, 0.0000)
V (0.0000, 0.0000, 0.5000)
Pd (0.5000, 0.5000, 0.0000)
Cl (0.0000, 0.5000, 0.5000)
Cl (0.5000, 0.0000, 0.5000)



(3)
SrZnPd2Cl | PBE | relaxed

Computed properties:
- Raw total energy: -3.50 eV per atom
- Fermi-level density of states: 1.577 states/eV/f.u.

Cell lengths 4.7000, 4.7000, 5.5751 Å; angles 90.00, 90.00, 90.00 degrees
Sites, in units of the cell vectors:
Sr (0.0000, 0.0000, 0.0000)
Zn (0.5000, 0.5000, 0.5000)
Pd (0.0000, 0.5000, 0.5000)
Pd (0.5000, 0.0000, 0.5000)
Cl (0.5000, 0.5000, 0.0000)



(4)
TaPdCl2 | PBE | relaxed

Computed properties:
- E above lowest polymorph: 325 meV per atom
- Raw total energy: -5.15 eV per atom
- Fermi-level density of states: 2.169 states/eV/f.u.

Cell lengths 6.7043, 6.7043, 6.7043 Å; angles 98.45, 98.45, 134.92 degrees
Sites, in units of the cell vectors:
Ta (0.0000, 0.0000, 0.0000)
Ta (0.7500, 0.2500, 0.5000)
Pd (0.2500, 0.7500, 0.5000)
Pd (0.5000, 0.5000, 0.0000)
Cl (0.3750, 0.0202, 0.1452)
Cl (0.7702, 0.6250, 0.6452)
Cl (0.8750, 0.2298, 0.8548)
Cl (0.9798, 0.1250, 0.3548)



(5)
TaPdCl3 | PBE | relaxed

Computed properties:
- E above lowest polymorph: 0 meV per atom
- Raw total energy: -4.59 eV per atom
- Fermi-level density of states: 2.740 states/eV/f.u.

Cell lengths 4.8244, 4.8244, 4.8244 Å; angles 90.00, 90.00, 90.00 degrees
Sites, in units of the cell vectors:
Ta (0.0000, 0.0000, 0.0000)
Pd (0.5000, 0.5000, 0.5000)
Cl (0.0000, 0.0000, 0.5000)
Cl (0.0000, 0.5000, 0.0000)
Cl (0.5000, 0.0000, 0.0000)



(6)
TaPdCl2 | PBE | relaxed

Computed properties:
- E above lowest polymorph: 635 meV per atom
- Raw total energy: -4.84 eV per atom
- Fermi-level density of states: 1.783 states/eV/f.u.

Cell lengths 4.4929, 4.4929, 4.4929 Å; angles 60.00, 60.00, 60.00 degrees
Sites, in units of the cell vectors:
Ta (0.0000, 0.0000, 0.0000)
Pd (0.5000, 0.5000, 0.5000)
Cl (0.2500, 0.2500, 0.2500)
Cl (0.7500, 0.7500, 0.7500)



(7)
TaPd3Cl | PBE | relaxed

Computed properties:
- E above lowest polymorph: 0 meV per atom
- Raw total energy: -5.00 eV per atom
- Fermi-level density of states: 3.222 states/eV/f.u.

Cell lengths 4.8977, 4.8977, 4.8977 Å; angles 90.00, 90.00, 90.00 degrees
Sites, in units of the cell vectors:
Ta (0.0000, 0.0000, 0.0000)
Pd (0.0000, 0.0000, 0.5000)
Pd (0.0000, 0.5000, 0.0000)
Pd (0.5000, 0.0000, 0.0000)
Cl (0.5000, 0.5000, 0.5000)



(8)
TaPdCl3 | PBE | relaxed

Computed properties:
- E above lowest polymorph: 754 meV per atom
- Raw total energy: -3.84 eV per atom
- Fermi-level density of states: 6.624 states/eV/f.u.

Cell lengths 4.8547, 4.8547, 4.8547 Å; angles 90.00, 90.00, 90.00 degrees
Sites, in units of the cell vectors:
Ta (0.0000, 0.0000, 0.0000)
Pd (0.5000, 0.5000, 0.5000)
Cl (0.0000, 0.5000, 0.5000)
Cl (0.5000, 0.0000, 0.5000)
Cl (0.5000, 0.5000, 0.0000)